No. 1
## PmAl11 (PBE)

Data for PmAl11 after structural relaxation.

It has space group I4_1/amd (No. 141, origin choice 2), with a = 11.004 Å, b = 11.004 Å, c = 7.251 Å, α = 90.00°, β = 90.00° and γ = 90.00°. The asymmetric unit holds Pm at (0.000, 0.250, 0.375), Al at (0.000, 0.000, 0.000), Al at (0.000, 0.250, 0.875) and Al at (0.122, 0.043, 0.679).

The value obtained for the formation energy is -75 meV/atom. The final energy is -187.27 eV per cell.

***

No. 2
## Cr2CuI (PBE)

Data for Cr2CuI after structural relaxation.

It has space group Fm-3m (No. 225), with a = 6.112 Å, b = 6.112 Å, c = 6.112 Å, α = 90.00°, β = 90.00° and γ = 90.00°. The asymmetric unit holds Cr at (0.250, 0.250, 0.250), Cu at (0.000, 0.000, 0.000) and I at (0.000, 0.000, 0.500).

The final energy is -83.24 eV per cell. The calculation puts the energy above the most stable polymorph in this dataset at 0.0 kJ/mol of atoms.

***

No. 3
## Er2NiPdC (PBE)

Data for Er2NiPdC after structural relaxation.

It has space group P4/mmm (No. 123), with a = 4.904 Å, b = 4.904 Å, c = 3.635 Å, α = 90.00°, β = 90.00° and γ = 90.00°. The asymmetric unit holds Er at (0.000, 0.500, 0.000), Ni at (0.000, 0.000, 0.500), Pd at (0.500, 0.500, 0.500) and C at (0.000, 0.000, 0.000).

The value obtained for the formation energy is -593 meV/atom. The final energy is -32.29 eV per cell.

***

No. 4
## Ca2Ag2P (PBE)

Data for Ca2Ag2P after structural relaxation.

It has space group I4/mmm (No. 139), with a = 5.877 Å, b = 5.877 Å, c = 7.492 Å, α = 90.00°, β = 90.00° and γ = 90.00°. The asymmetric unit holds Ca at (0.000, 0.500, 0.250), Ag at (0.000, 0.000, 0.172) and P at (0.000, 0.000, 0.500).

The value obtained for the formation energy is -168 meV/atom. The final energy is -31.91 eV per cell. The calculation puts the energy above the most stable polymorph in this dataset at 25.5 kJ/mol of atoms.

***

No. 5
## LaSm12Co6 (PBE)

Data for LaSm12Co6 after structural relaxation.

It has space group Im-3 (No. 204), with a = 9.999 Å, b = 9.999 Å, c = 9.999 Å, α = 90.00°, β = 90.00° and γ = 90.00°. The asymmetric unit holds La at (0.000, 0.000, 0.000), Sm at (0.000, 0.311, 0.195) and Co at (0.000, 0.112, 0.500).

The value obtained for the formation energy is -75 meV/atom. The final energy is -211.22 eV per cell.

***

No. 6
## LiCaSi (PBE)

Data for LiCaSi after structural relaxation.

It has space group R3m (No. 160, hexagonal axes), with a = 4.8412 Å, b = 4.8412 Å, c = 19.7274 Å, α = 90.00°, β = 90.00° and γ = 120.00°. The asymmetric unit holds Li at (0.0000, 0.0000, 0.0000), Li at (0.0000, 0.0000, 0.3841), Ca at (0.0000, 0.0000, 0.2389), Ca at (0.0000, 0.0000, 0.7904), Si at (0.0000, 0.0000, 0.5171) and Si at (0.0000, 0.0000, 0.6440).

The final energy is -61.86 eV per cell.

***

No. 7
## NaSb3Te4 (PBE)

Data for NaSb3Te4 after structural relaxation.

It has space group Pmn2_1 (No. 31), with a = 11.946 Å, b = 7.906 Å, c = 6.350 Å, α = 90.00°, β = 90.00° and γ = 90.00°. The asymmetric unit holds Na at (0.000, 0.244, 0.000), Sb at (0.000, 0.603, 0.490), Sb at (0.240, 0.806, 0.020), Te at (0.000, 0.243, 0.500), Te at (0.000, 0.663, 0.041) and Te at (0.234, 0.835, 0.515).

The final energy is -54.76 eV per cell.

***

No. 8
## Sc2SbS (PBE)

Data for Sc2SbS after structural relaxation.

It has space group R3m (No. 160, hexagonal axes), with a = 3.7803 Å, b = 3.7803 Å, c = 20.6307 Å, α = 90.00°, β = 90.00° and γ = 120.00°. The asymmetric unit holds Sc at (0.0000, 0.0000, 0.0000), Sc at (0.0000, 0.0000, 0.1921), Sb at (0.0000, 0.0000, 0.4287) and S at (0.0000, 0.0000, 0.5986).

The final energy is -78.66 eV per cell. The calculation puts the energy above the most stable polymorph in this dataset at 9.5 kJ/mol of atoms.

***

no.,V (A^3/atom)
1,18.29
2,14.27
3,17.48
4,25.87
5,26.31
6,22.25
7,37.48
8,21.28